Compound: KSr2Te
Source: Alexandria via LeMat-Bulk
Functional: PBE
Structure: relaxed

ΔE_f (raw): -2.7 eV/f.u.
SG: Immm, No. 71
spin magnetization: 0.00 μB/f.u.
N(E_F): 0.751 states/eV per atom
calculated volume: 196.25 Å³ per cell

```
4
Lattice="-2.1416 3.1992 7.1608 2.1416 -3.1992 7.1608 2.1416 3.1992 -7.1608" Properties=species:S:1:pos:R:3 pbc="T T T"
K 0.0000 0.0000 0.0000
Sr 2.1416 0.0000 4.6231
Sr 0.0000 3.1992 2.5377
Te 0.0000 0.0000 7.1608
```

Compound: NaCr2Re
Source: Alexandria via LeMat-Bulk
Functional: PBE
Structure: relaxed

excess energy over the best structure of this formula in the dataset: 513 meV/atom
SG: I-42d, No. 122
calculated formation energy: 1.337 eV/atom
spin magnetization: 0.00 μB/f.u.
N(E_F): 1.057 states/eV per atom
calculated volume: 130.00 Å³ per cell

```
8
Lattice="-3.4540 3.4540 2.7242 3.4540 -3.4540 2.7242 3.4540 3.4540 -2.7242" Properties=species:S:1:pos:R:3 pbc="T T T"
Na 0.0000 0.0000 0.0000
Na 0.0000 3.4540 1.3621
Cr 1.7270 2.0120 -0.6811
Cr 4.8959 1.7270 0.6811
Cr 1.7270 1.4419 2.0432
Cr -1.4419 1.7270 3.4053
Re 3.4540 0.0000 1.3621
Re 0.0000 0.0000 2.7242
```